[1]
## CdRh (GGA-PBE)

Data for crystalline CdRh at its relaxed geometry.

Output
Formation energy from the elements, eV per atom: 0.0680
Calculated density, g/cm³: 10.54
Total moment, μB/atom: 0.000
DOS at the Fermi energy, states/eV per atom: 0.68

CIF file:
```
data_CdRh
_cell_length_a 3.071
_cell_length_b 4.825
_cell_length_c 4.579
_cell_angle_alpha 90.00
_cell_angle_beta 90.00
_cell_angle_gamma 90.00
_space_group_name_H-M_alt 'C m m m'
_space_group_IT_number 65
_space_group_name_Hall '-C 2 2'
loop_
_atom_site_label
_atom_site_type_symbol
_atom_site_fract_x
_atom_site_fract_y
_atom_site_fract_z
Cd1 Cd 0.000 0.000 0.000
Rh1 Rh 0.000 0.500 0.500
```



[2]
## MgIrBr2 (GGA-PBE)

Data for crystalline MgIrBr2 at its relaxed geometry.

Output
Calculated density, g/cm³: 7.53
Uncorrected formation energy, eV per atom: 0.283
Total moment, μB/atom: 0.000
DOS at the Fermi energy, states/eV per atom: 0.70

CIF file:
```
data_MgIrBr2
_cell_length_a 3.778
_cell_length_b 3.778
_cell_length_c 11.621
_cell_angle_alpha 90.00
_cell_angle_beta 90.00
_cell_angle_gamma 90.00
_space_group_name_H-M_alt 'I -4 m 2'
_space_group_IT_number 119
_space_group_name_Hall 'I -4 -2'
loop_
_atom_site_label
_atom_site_type_symbol
_atom_site_fract_x
_atom_site_fract_y
_atom_site_fract_z
Mg1 Mg 0.000 0.000 0.000
Ir1 Ir 0.000 0.500 0.250
Br1 Br 0.000 0.000 0.500
Br2 Br 0.000 0.500 0.750
```



[3]
## SrLi8Cu4 (GGA-PBE)

Data for crystalline SrLi8Cu4 at its relaxed geometry.

Output
Formation energy from the elements, eV per atom: -0.0215
Calculated density, g/cm³: 2.95
Total moment, μB/atom: 0.000
DOS at the Fermi energy, states/eV per atom: 0.51

CIF file:
```
data_SrLi8Cu4
_cell_length_a 9.385
_cell_length_b 9.385
_cell_length_c 5.075
_cell_angle_alpha 90.00
_cell_angle_beta 90.00
_cell_angle_gamma 90.00
_space_group_name_H-M_alt 'I 4/m m m'
_space_group_IT_number 139
_space_group_name_Hall '-I 4 2'
loop_
_atom_site_label
_atom_site_type_symbol
_atom_site_fract_x
_atom_site_fract_y
_atom_site_fract_z
Sr1 Sr 0.000 0.000 0.000
Li1 Li 0.000 0.235 0.500
Li2 Li 0.000 0.351 0.000
Cu1 Cu 0.250 0.250 0.250
```



[4]
## CoSe2Br (GGA-PBE)

Data for crystalline CoSe2Br at its relaxed geometry.

Output
Calculated density, g/cm³: 5.02
Uncorrected formation energy, eV per atom: 0.030
Total moment, μB/atom: 0.000
DOS at the Fermi energy, states/eV per atom: 0.07

CIF file:
```
data_CoSe2Br
_cell_length_a 6.466
_cell_length_b 6.466
_cell_length_c 9.383
_cell_angle_alpha 90.00
_cell_angle_beta 90.00
_cell_angle_gamma 90.00
_space_group_name_H-M_alt 'I -4 2 d'
_space_group_IT_number 122
_space_group_name_Hall 'I -4 2bw'
loop_
_atom_site_label
_atom_site_type_symbol
_atom_site_fract_x
_atom_site_fract_y
_atom_site_fract_z
Co1 Co 0.000 0.000 0.000
Se1 Se 0.150 0.250 0.125
Br1 Br 0.000 0.000 0.500
```



[5]
## Ca4SiP4 (GGA-PBE)

Data for crystalline Ca4SiP4 at its relaxed geometry.

Output
Calculated density, g/cm³: 2.47
Uncorrected formation energy, eV per atom: -1.044
Total moment, μB/atom: 0.000

CIF file:
```
data_Ca4SiP4
_cell_length_a 11.884
_cell_length_b 11.884
_cell_length_c 11.884
_cell_angle_alpha 90.00
_cell_angle_beta 90.00
_cell_angle_gamma 90.00
_space_group_name_H-M_alt 'P -4 3 n'
_space_group_IT_number 218
_space_group_name_Hall 'P -4n 2 3'
loop_
_atom_site_label
_atom_site_type_symbol
_atom_site_fract_x
_atom_site_fract_y
_atom_site_fract_z
Ca1 Ca 0.095 0.134 0.355
Ca2 Ca 0.146 0.146 0.854
Si1 Si 0.000 0.000 0.000
Si2 Si 0.000 0.500 0.250
P1 P 0.108 0.382 0.354
P2 P 0.110 0.110 0.110
```



[6]
## ScMo2Pt (GGA-PBE)

Data for crystalline ScMo2Pt at its relaxed geometry.

Output
Formation energy from the elements, eV per atom: -0.1442
Calculated density, g/cm³: 10.81
Total moment, μB/atom: 0.000
DOS at the Fermi energy, states/eV per atom: 1.17

CIF file:
```
data_ScMo2Pt
_cell_length_a 5.356
_cell_length_b 9.399
_cell_length_c 2.762
_cell_angle_alpha 90.00
_cell_angle_beta 107.39
_cell_angle_gamma 90.00
_space_group_name_H-M_alt 'C 1 2/m 1'
_space_group_IT_number 12
loop_
_space_group_symop_operation_xyz
'x,y,z'
'-x,-y,-z'
'-x,y,-z'
'x,-y,z'
'x+1/2,y+1/2,z'
'-x+1/2,-y+1/2,-z'
'-x+1/2,y+1/2,-z'
'x+1/2,-y+1/2,z'
loop_
_atom_site_label
_atom_site_type_symbol
_atom_site_fract_x
_atom_site_fract_y
_atom_site_fract_z
Sc1 Sc 0.000 0.000 0.000
Mo1 Mo 0.250 0.250 0.500
Pt1 Pt 0.000 0.500 0.000
```



[7]
## CsTlI4 (GGA-PBE)

Data for crystalline CsTlI4 at its relaxed geometry.

Output
Calculated density, g/cm³: 4.09
Uncorrected formation energy, eV per atom: -0.729
Total moment, μB/atom: 0.000

CIF file:
```
data_CsTlI4
_cell_length_a 10.312
_cell_length_b 11.884
_cell_length_c 13.529
_cell_angle_alpha 90.00
_cell_angle_beta 124.22
_cell_angle_gamma 90.00
_space_group_name_H-M_alt 'P 1 21/c 1'
_space_group_IT_number 14
loop_
_space_group_symop_operation_xyz
'x,y,z'
'-x,-y,-z'
'-x,y+1/2,-z+1/2'
'x,-y+1/2,z+1/2'
loop_
_atom_site_label
_atom_site_type_symbol
_atom_site_fract_x
_atom_site_fract_y
_atom_site_fract_z
Cs1 Cs 0.180 0.163 0.273
Tl1 Tl 0.301 0.668 0.201
I1 I 0.069 0.657 0.607
I2 I 0.203 0.505 0.297
I3 I 0.338 0.605 0.016
I4 I 0.395 0.249 0.120
```



[8]
## Pm2Sm3S8 (GGA-PBE)

Data for crystalline Pm2Sm3S8 at its relaxed geometry.

Output
Calculated density, g/cm³: 4.52
Uncorrected formation energy, eV per atom: -1.852
Total moment, μB/atom: 0.000
DOS at the Fermi energy, states/eV per atom: 0.60

CIF file:
```
data_Pm2Sm3S8
_cell_length_a 13.985
_cell_length_b 8.162
_cell_length_c 6.858
_cell_angle_alpha 90.00
_cell_angle_beta 110.48
_cell_angle_gamma 90.00
_space_group_name_H-M_alt 'C 1 2/m 1'
_space_group_IT_number 12
loop_
_space_group_symop_operation_xyz
'x,y,z'
'-x,-y,-z'
'-x,y,-z'
'x,-y,z'
'x+1/2,y+1/2,z'
'-x+1/2,-y+1/2,-z'
'-x+1/2,y+1/2,-z'
'x+1/2,-y+1/2,z'
loop_
_atom_site_label
_atom_site_type_symbol
_atom_site_fract_x
_atom_site_fract_y
_atom_site_fract_z
Pm1 Pm 0.235 0.000 0.155
Sm1 Sm 0.000 0.237 0.500
Sm2 Sm 0.000 0.500 0.000
S1 S 0.116 0.500 0.432
S2 S 0.121 0.000 0.415
S3 S 0.125 0.269 0.915
```



[9]
## ZrCr2Ni2 (GGA-PBE)

Data for crystalline ZrCr2Ni2 at its relaxed geometry.

Output
Formation energy from the elements, eV per atom: 0.0463
Calculated density, g/cm³: 7.51
Total moment, μB/atom: 0.000
DOS at the Fermi energy, states/eV per atom: 1.71

CIF file:
```
data_ZrCr2Ni2
_cell_length_a 3.406
_cell_length_b 3.406
_cell_length_c 11.920
_cell_angle_alpha 90.00
_cell_angle_beta 90.00
_cell_angle_gamma 90.00
_space_group_name_H-M_alt 'I 4/m m m'
_space_group_IT_number 139
_space_group_name_Hall '-I 4 2'
loop_
_atom_site_label
_atom_site_type_symbol
_atom_site_fract_x
_atom_site_fract_y
_atom_site_fract_z
Zr1 Zr 0.000 0.000 0.000
Cr1 Cr 0.000 0.500 0.250
Ni1 Ni 0.000 0.000 0.400
```



[10]
## Cs3Ac3UO8 (GGA-PBE)

Data for crystalline Cs3Ac3UO8 at its relaxed geometry.

Output
Calculated density, g/cm³: 6.62
Uncorrected formation energy, eV per atom: -2.675
Total moment, μB/atom: 0.108
DOS at the Fermi energy, states/eV per atom: 0.15

CIF file:
```
data_Cs3Ac3UO8
_cell_length_a 7.6623
_cell_length_b 7.6623
_cell_length_c 21.4081
_cell_angle_alpha 90.00
_cell_angle_beta 90.00
_cell_angle_gamma 120.00
_space_group_name_H-M_alt 'R -3 m'
_space_group_IT_number 166
_space_group_name_Hall '-R 3 2"'
loop_
_atom_site_label
_atom_site_type_symbol
_atom_site_fract_x
_atom_site_fract_y
_atom_site_fract_z
Cs1 Cs 0.0000 0.5000 0.0000
Ac1 Ac 0.0000 0.5000 0.5000
U1 U 0.0000 0.0000 0.5000
O1 O 0.0000 0.0000 0.2205
O2 O 0.0445 0.5223 0.2166
```



[11]
## Tm4AlRh (GGA-PBE)

Data for crystalline Tm4AlRh at its relaxed geometry.

Output
Formation energy from the elements, eV per atom: -0.5559
Calculated density, g/cm³: 9.12
Total moment, μB/atom: 0.000
DOS at the Fermi energy, states/eV per atom: 0.49

CIF file:
```
data_Tm4AlRh
_cell_length_a 13.287
_cell_length_b 13.287
_cell_length_c 13.287
_cell_angle_alpha 90.00
_cell_angle_beta 90.00
_cell_angle_gamma 90.00
_space_group_name_H-M_alt 'F -4 3 m'
_space_group_IT_number 216
_space_group_name_Hall 'F -4 2 3'
loop_
_atom_site_label
_atom_site_type_symbol
_atom_site_fract_x
_atom_site_fract_y
_atom_site_fract_z
Tm1 Tm 0.000 0.000 0.187
Tm2 Tm 0.056 0.250 0.250
Tm3 Tm 0.103 0.103 0.603
Al1 Al 0.172 0.172 0.828
Rh1 Rh 0.107 0.107 0.393
```



[12]
## Li2ZrCu (GGA-PBE)

Data for crystalline Li2ZrCu at its relaxed geometry.

Output
Formation energy from the elements, eV per atom: 0.2674
Calculated density, g/cm³: 3.94
Total moment, μB/atom: 0.392
DOS at the Fermi energy, states/eV per atom: 0.94

CIF file:
```
data_Li2ZrCu
_cell_length_a 3.816
_cell_length_b 3.816
_cell_length_c 9.753
_cell_angle_alpha 90.00
_cell_angle_beta 90.00
_cell_angle_gamma 90.00
_space_group_name_H-M_alt 'I 4/m m m'
_space_group_IT_number 139
_space_group_name_Hall '-I 4 2'
loop_
_atom_site_label
_atom_site_type_symbol
_atom_site_fract_x
_atom_site_fract_y
_atom_site_fract_z
Li1 Li 0.000 0.500 0.250
Zr1 Zr 0.000 0.000 0.000
Cu1 Cu 0.000 0.000 0.500
```



[13]
## KTaIn2 (GGA-PBE)

Data for crystalline KTaIn2 at its relaxed geometry.

Output
Formation energy from the elements, eV per atom: 0.3477
Calculated density, g/cm³: 7.62
Total moment, μB/atom: 0.121
DOS at the Fermi energy, states/eV per atom: 1.32

CIF file:
```
data_KTaIn2
_cell_length_a 3.2072
_cell_length_b 3.2072
_cell_length_c 33.0179
_cell_angle_alpha 90.00
_cell_angle_beta 90.00
_cell_angle_gamma 120.00
_space_group_name_H-M_alt 'R -3 m'
_space_group_IT_number 166
_space_group_name_Hall '-R 3 2"'
loop_
_atom_site_label
_atom_site_type_symbol
_atom_site_fract_x
_atom_site_fract_y
_atom_site_fract_z
K1 K 0.0000 0.0000 0.0000
Ta1 Ta 0.0000 0.0000 0.5000
In1 In 0.0000 0.0000 0.2405
```



[14]
## ScP2Cl (GGA-PBE)

Data for crystalline ScP2Cl at its relaxed geometry.

Output
Calculated density, g/cm³: 2.34
Uncorrected formation energy, eV per atom: -0.848
Total moment, μB/atom: 0.000
DOS at the Fermi energy, states/eV per atom: 0.28

CIF file:
```
data_ScP2Cl
_cell_length_a 7.474
_cell_length_b 3.621
_cell_length_c 7.691
_cell_angle_alpha 90.00
_cell_angle_beta 104.02
_cell_angle_gamma 90.00
_space_group_name_H-M_alt 'C 1 m 1'
_space_group_IT_number 8
loop_
_space_group_symop_operation_xyz
'x,y,z'
'x,-y,z'
'x+1/2,y+1/2,z'
'x+1/2,-y+1/2,z'
loop_
_atom_site_label
_atom_site_type_symbol
_atom_site_fract_x
_atom_site_fract_y
_atom_site_fract_z
Sc1 Sc 0.000 0.000 0.000
P1 P 0.033 0.500 0.290
P2 P 0.252 0.500 0.172
Cl1 Cl 0.342 0.000 0.780
```



[15]
## SmHo2Cd (GGA-PBE)

Data for crystalline SmHo2Cd at its relaxed geometry.

Output
Formation energy from the elements, eV per atom: 0.0104
Calculated density, g/cm³: 8.61
Total moment, μB/atom: 0.002
DOS at the Fermi energy, states/eV per atom: 1.39

CIF file:
```
data_SmHo2Cd
_cell_length_a 7.704
_cell_length_b 7.704
_cell_length_c 7.704
_cell_angle_alpha 90.00
_cell_angle_beta 90.00
_cell_angle_gamma 90.00
_space_group_name_H-M_alt 'F m -3 m'
_space_group_IT_number 225
_space_group_name_Hall '-F 4 2 3'
loop_
_atom_site_label
_atom_site_type_symbol
_atom_site_fract_x
_atom_site_fract_y
_atom_site_fract_z
Sm1 Sm 0.000 0.000 0.000
Ho1 Ho 0.250 0.250 0.250
Cd1 Cd 0.000 0.000 0.500
```



[16]
## Li2Y3Zn9 (GGA-PBE)

Data for crystalline Li2Y3Zn9 at its relaxed geometry.

Output
Formation energy from the elements, eV per atom: -0.3161
Calculated density, g/cm³: 5.62
Total moment, μB/atom: 0.000
DOS at the Fermi energy, states/eV per atom: 0.52

CIF file:
```
data_Li2Y3Zn9
_cell_length_a 4.465
_cell_length_b 8.624
_cell_length_c 13.336
_cell_angle_alpha 90.00
_cell_angle_beta 90.00
_cell_angle_gamma 90.00
_space_group_name_H-M_alt 'I m m m'
_space_group_IT_number 71
_space_group_name_Hall '-I 2 2'
loop_
_atom_site_label
_atom_site_type_symbol
_atom_site_fract_x
_atom_site_fract_y
_atom_site_fract_z
Li1 Li 0.000 0.180 0.000
Y1 Y 0.000 0.000 0.218
Y2 Y 0.000 0.000 0.500
Zn1 Zn 0.000 0.290 0.365
Zn2 Zn 0.000 0.354 0.157
Zn3 Zn 0.000 0.500 0.500
```



[17]
## Tb2Pr4YEr2 (GGA-PBE)

Data for crystalline Tb2Pr4YEr2 at its relaxed geometry.

Output
Formation energy from the elements, eV per atom: 0.0230
Calculated density, g/cm³: 7.17
Total moment, μB/atom: 0.000
DOS at the Fermi energy, states/eV per atom: 1.57

CIF file:
```
data_Tb2Pr4YEr2
_cell_length_a 15.391
_cell_length_b 5.121
_cell_length_c 8.082
_cell_angle_alpha 90.00
_cell_angle_beta 108.49
_cell_angle_gamma 90.00
_space_group_name_H-M_alt 'C 1 2/m 1'
_space_group_IT_number 12
loop_
_space_group_symop_operation_xyz
'x,y,z'
'-x,-y,-z'
'-x,y,-z'
'x,-y,z'
'x+1/2,y+1/2,z'
'-x+1/2,-y+1/2,-z'
'-x+1/2,y+1/2,-z'
'x+1/2,-y+1/2,z'
loop_
_atom_site_label
_atom_site_type_symbol
_atom_site_fract_x
_atom_site_fract_y
_atom_site_fract_z
Tb1 Tb 0.112 0.000 0.170
Pr1 Pr 0.054 0.500 0.831
Pr2 Pr 0.223 0.000 0.831
Y1 Y 0.000 0.000 0.500
Er1 Er 0.168 0.500 0.499
```



[18]
## RbPS2F (GGA-PBE)

Data for crystalline RbPS2F at its relaxed geometry.

Output
Calculated density, g/cm³: 1.08
Uncorrected formation energy, eV per atom: 1.203
Total moment, μB/atom: 0.200
DOS at the Fermi energy, states/eV per atom: 2.09

CIF file:
```
data_RbPS2F
_cell_length_a 6.574
_cell_length_b 6.574
_cell_length_c 7.113
_cell_angle_alpha 90.00
_cell_angle_beta 90.00
_cell_angle_gamma 90.00
_space_group_name_H-M_alt 'P 4/m m m'
_space_group_IT_number 123
_space_group_name_Hall '-P 4 2'
loop_
_atom_site_label
_atom_site_type_symbol
_atom_site_fract_x
_atom_site_fract_y
_atom_site_fract_z
Rb1 Rb 0.000 0.000 0.000
P1 P 0.000 0.000 0.500
S1 S 0.000 0.500 0.000
F1 F 0.500 0.500 0.500
```



[19]
## La12Pm6Tm (GGA-PBE)

Data for crystalline La12Pm6Tm at its relaxed geometry.

Output
Formation energy from the elements, eV per atom: 0.0183
Calculated density, g/cm³: 6.62
Total moment, μB/atom: 0.000
DOS at the Fermi energy, states/eV per atom: 1.91

CIF file:
```
data_La12Pm6Tm
_cell_length_a 16.0791
_cell_length_b 16.0791
_cell_length_c 9.0953
_cell_angle_alpha 90.00
_cell_angle_beta 90.00
_cell_angle_gamma 120.00
_space_group_name_H-M_alt 'R -3'
_space_group_IT_number 148
_space_group_name_Hall '-R 3'
loop_
_atom_site_label
_atom_site_type_symbol
_atom_site_fract_x
_atom_site_fract_y
_atom_site_fract_z
La1 La 0.0350 0.7552 0.3357
La2 La 0.0717 0.5098 0.6659
Pm1 Pm 0.0170 0.8788 0.6678
Tm1 Tm 0.0000 0.0000 0.0000
```



[20]
## Ca2Sn2Bi (GGA-PBE)

Data for crystalline Ca2Sn2Bi at its relaxed geometry.

Output
Formation energy from the elements, eV per atom: -0.5617
Calculated density, g/cm³: 5.70
Total moment, μB/atom: 0.000
DOS at the Fermi energy, states/eV per atom: 0.27

CIF file:
```
data_Ca2Sn2Bi
_cell_length_a 8.171
_cell_length_b 8.171
_cell_length_c 4.592
_cell_angle_alpha 90.00
_cell_angle_beta 90.00
_cell_angle_gamma 90.00
_space_group_name_H-M_alt 'P 4/m b m'
_space_group_IT_number 127
_space_group_name_Hall '-P 4 2ab'
loop_
_atom_site_label
_atom_site_type_symbol
_atom_site_fract_x
_atom_site_fract_y
_atom_site_fract_z
Ca1 Ca 0.174 0.326 0.000
Sn1 Sn 0.125 0.625 0.500
Bi1 Bi 0.000 0.000 0.500
```